A relaxed Mn2CrOs crystal, computed with PBE.

Cell lengths 4.1311, 4.1170, 4.1169 Å; angles 89.77, 120.04, 120.03 degrees
With the nearest neighbours (Å) after each atom.
Fractional positions:
Mn (0.1251, 0.8125, 0.9376)  4 Mn 2.52-2.53, 4 Os 2.52-2.53
Mn (0.6250, 0.0624, 0.6876)  4 Cr 2.52-2.53, 4 Mn 2.52-2.53
Os (0.6250, 0.5626, 0.1874)  4 Cr 2.52-2.53, 4 Mn 2.52-2.53
Cr (0.1250, 0.3125, 0.4375)  4 Mn 2.52-2.53, 4 Os 2.52-2.53

Results
Density of states at the Fermi level = 3.7 states/eV/cell
Calculated formation energy = 0.1091 eV per atom



A relaxed Mn2CrOs crystal, computed with PBE.

Cell lengths 4.1430, 2.5671, 4.7748 Å; angles 81.19, 90.00, 90.00 degrees
With the nearest neighbours (Å) after each atom.
Fractional positions:
Mn (0.0000, 0.0090, 0.9900)  2 Cr 2.46, 2 Os 2.50-2.56, 4 Mn 2.52-2.57
Mn (0.5000, 0.2099, 0.2541)  3 Cr 2.52-2.75, 4 Mn 2.52-2.57, 2 Os 2.55
Os (0.0000, 0.5282, 0.4873)  4 Mn 2.50-2.56, 2 Os 2.57, 2 Cr 2.58
Cr (0.5000, 0.7529, 0.7687)  5 Mn 2.46-2.75, 2 Cr 2.57, 2 Os 2.58

Results
Density of states at the Fermi level = 4.4 states/eV/cell
Calculated formation energy = 0.1446 eV per atom



A relaxed Mn8CrOs3 crystal, computed with PBE.

Cell lengths 4.6400, 4.6400, 8.0286 Å; angles 73.20, 73.20, 60.00 degrees
With the nearest neighbours (Å) after each atom.
Fractional positions:
Mn (0.3127, 0.3127, 0.0619)  6 Mn 2.32-2.33
Mn (0.0624, 0.5632, 0.8111)  6 Mn 2.30-2.32
Mn (0.5632, 0.5632, 0.8111)  6 Mn 2.30-2.32
Mn (0.5632, 0.0624, 0.8111)  6 Mn 2.30-2.32
Mn (0.5611, 0.0623, 0.3143)  6 Mn 2.31-2.33
Mn (0.0623, 0.5611, 0.3143)  6 Mn 2.31-2.33
Mn (0.0623, 0.0623, 0.3143)  6 Mn 2.31-2.33
Mn (0.8123, 0.8123, 0.5632)  6 Mn 2.30-2.31
Os (0.6247, 0.6247, 0.1259)  12 Mn 2.72-2.73, 4 Os 2.85
Os (0.4992, 0.4992, 0.5025)  12 Mn 2.69-2.72, 3 Cr 2.83, 1 Os 2.85
Os (0.0010, 0.0010, 0.9971)  12 Mn 2.71-2.75, 1 Cr 2.83, 3 Os 2.85
Cr (0.1256, 0.1256, 0.6231)  12 Mn 2.69-2.72, 4 Os 2.83

Results
Density of states at the Fermi level = 15.2 states/eV/cell
Calculated formation energy = 0.0395 eV per atom



A relaxed MnCr2Os crystal, computed with PBE.

Cell lengths 4.4880, 4.4880, 4.4734 Å; angles 80.16, 80.16, 34.05 degrees
With the nearest neighbours (Å) after each atom.
Fractional positions:
Cr (0.9998, 0.9998, 0.9953)  5 Cr 2.54-2.63, 4 Mn 2.56-2.63, 3 Os 2.58-2.63
Cr (0.7554, 0.7554, 0.7470)  5 Cr 2.54-2.63, 3 Mn 2.55-2.62, 4 Os 2.58-2.61
Mn (0.4997, 0.4997, 0.5034)  7 Cr 2.55-2.63, 3 Os 2.56-2.62, 2 Mn 2.63
Os (0.2452, 0.2452, 0.2544)  3 Mn 2.56-2.62, 7 Cr 2.58-2.63, 2 Os 2.63

Results
Density of states at the Fermi level = 4.7 states/eV/cell
Calculated formation energy = 0.1574 eV per atom



A relaxed Mn2CrOs crystal, computed with PBE.

Cell lengths 4.4680, 4.4680, 4.4816 Å; angles 80.14, 80.14, 34.00 degrees
With the nearest neighbours (Å) after each atom.
Fractional positions:
Os (0.5041, 0.5041, 0.5007)  3 Cr 2.54-2.64, 7 Mn 2.59-2.63, 2 Os 2.61
Mn (0.9966, 0.9966, 0.0053)  5 Mn 2.52-2.61, 3 Cr 2.58, 4 Os 2.59-2.60
Mn (0.2525, 0.2525, 0.2382)  5 Mn 2.52-2.61, 4 Cr 2.53-2.66, 3 Os 2.59-2.63
Cr (0.7468, 0.7468, 0.7558)  7 Mn 2.53-2.66, 3 Os 2.54-2.64, 2 Cr 2.61

Results
Density of states at the Fermi level = 4.7 states/eV/cell
Calculated formation energy = 0.1035 eV per atom



A relaxed Mn2Cr4Os3 crystal, computed with PBE.

Cell lengths 3.7113, 4.5002, 7.8199 Å; angles 73.12, 90.00, 114.35 degrees
With the nearest neighbours (Å) after each atom.
Fractional positions:
Cr (0.9906, 0.9813, 0.3400)  5 Mn 2.51-2.63, 3 Cr 2.56-2.64, 4 Os 2.56-2.64
Cr (0.3376, 0.6752, 0.8851)  7 Os 2.60-2.69, 4 Cr 2.64-2.66, 1 Mn 2.64
Cr (0.6624, 0.3248, 0.1149)  7 Os 2.60-2.69, 4 Cr 2.64-2.66, 1 Mn 2.64
Cr (0.0094, 0.0187, 0.6600)  5 Mn 2.51-2.63, 3 Cr 2.56-2.64, 4 Os 2.56-2.64
Mn (0.6583, 0.3167, 0.4537)  3 Mn 2.46-2.63, 3 Os 2.50-2.59, 6 Cr 2.51-2.64
Mn (0.3417, 0.6833, 0.5463)  3 Mn 2.46-2.63, 3 Os 2.50-2.59, 6 Cr 2.51-2.64
Os (0.6799, 0.3598, 0.7651)  3 Mn 2.50-2.59, 7 Cr 2.56-2.69, 2 Os 2.70
Os (0.0000, 0.0000, 0.0000)  8 Cr 2.61-2.64, 4 Os 2.70
Os (0.3201, 0.6402, 0.2349)  3 Mn 2.50-2.59, 7 Cr 2.56-2.69, 2 Os 2.70

Results
Density of states at the Fermi level = 10.9 states/eV/cell
Calculated formation energy = 0.1223 eV per atom



A relaxed MnCr2Os crystal, computed with PBE.

Cell lengths 4.8438, 4.8389, 2.5583 Å; angles 79.91, 79.75, 116.97 degrees
With the nearest neighbours (Å) after each atom.
Fractional positions:
Cr (0.5000, 0.0000, 0.5000)  4 Cr 2.53-2.56, 2 Os 2.53, 2 Mn 2.53
Cr (0.0000, 0.0000, 0.0000)  4 Cr 2.53-2.56, 2 Mn 2.53, 2 Os 2.53
Mn (0.0000, 0.5000, 0.5000)  2 Os 2.53, 4 Cr 2.53, 2 Mn 2.56
Os (0.5000, 0.5000, 0.0000)  2 Mn 2.53, 4 Cr 2.53, 2 Os 2.56

Results
Density of states at the Fermi level = 4.7 states/eV/cell
Calculated formation energy = 0.1497 eV per atom



A relaxed Mn2CrOs crystal, computed with PBE.

Cell lengths 3.9769, 2.5708, 4.9034 Å; angles 77.43, 90.00, 90.00 degrees
With the nearest neighbours (Å) after each atom.
Fractional positions:
Os (0.5000, 0.2500, 0.2500)  2 Cr 2.51, 2 Os 2.57, 8 Mn 2.61-2.74
Mn (0.0000, 0.9108, 0.9921)  2 Cr 2.40, 5 Mn 2.48-2.68, 2 Os 2.61
Mn (0.0000, 0.5892, 0.5079)  2 Cr 2.40, 5 Mn 2.48-2.68, 2 Os 2.61
Cr (0.5000, 0.7500, 0.7500)  4 Mn 2.40, 2 Os 2.51, 2 Cr 2.57

Results
Density of states at the Fermi level = 4.8 states/eV/cell
Calculated formation energy = 0.1332 eV per atom